Li2CoTc: single point on PBEsol structure, SCAN.

E above lowest polymorph, meV/atom: 354.3
Crystal system: tetragonal
Fermi-level density of states, states/eV per atom: 0.6303

abc: 4.456 4.456 2.398
angles: 90.00 90.00 90.00
Fractional coordinates of all 4 atoms:
Li (0.000, 0.500, 0.000)
Li (0.500, 0.000, 0.000)
Co (0.000, 0.000, 0.500)
Tc (0.500, 0.500, 0.500)

***

LiCo2Tc: single point on PBEsol structure, SCAN.

E above lowest polymorph, meV/atom: 74.7
Crystal system: orthorhombic
Fermi-level density of states, states/eV per atom: 0.8449

abc: 2.535 4.160 8.858
angles: 90.00 90.00 90.00
Fractional coordinates of all 8 atoms:
Li (0.000, 0.000, 0.000)
Li (0.500, 0.500, 0.500)
Co (0.000, 0.000, 0.513)
Co (0.000, 0.500, 0.233)
Co (0.500, 0.000, 0.733)
Co (0.500, 0.500, 0.013)
Tc (0.000, 0.500, 0.787)
Tc (0.500, 0.000, 0.287)

***

Repeat the first record exactly.
Li2CoTc: single point on PBEsol structure, SCAN.

E above lowest polymorph, meV/atom: 354.3
Crystal system: tetragonal
Fermi-level density of states, states/eV per atom: 0.6303

abc: 4.456 4.456 2.398
angles: 90.00 90.00 90.00
Fractional coordinates of all 4 atoms:
Li (0.000, 0.500, 0.000)
Li (0.500, 0.000, 0.000)
Co (0.000, 0.000, 0.500)
Tc (0.500, 0.500, 0.500)